[1]
ReP2: optimized geometry, GGA-PBE.

Cell: 3.086 3.086 5.152 Å, 90.00 90.00 120.00°
Fractional positions:
Re: 0.000 0.000 0.000
P: 0.333 0.667 0.674
P: 0.667 0.333 0.326

space-group type	P-3m1, No. 164
total energy	-7.859	eV per atom

[2]
ReP2: optimized geometry, GGA-PBE.

Cell: 6.014 6.014 4.500 Å, 90.00 90.00 150.41°
Fractional positions:
Re: 0.110 0.890 0.750
Re: 0.890 0.110 0.250
P: 0.223 0.777 0.250
P: 0.434 0.566 0.750
P: 0.566 0.434 0.250
P: 0.777 0.223 0.750

space-group type	Cmcm, No. 63
total energy	-7.565	eV per atom

[3]
ReP2: optimized geometry, GGA-PBE.

Cell: 5.286 5.286 2.941 Å, 90.00 90.00 147.49°
Fractional positions:
Re: 0.000 0.000 0.000
P: 0.358 0.642 0.500
P: 0.642 0.358 0.500

space-group type	Cmmm, No. 65
total energy	-7.741	eV per atom

[4]
ReP2: optimized geometry, GGA-PBE.

Cell: 4.249 4.249 5.379 Å, 90.00 90.00 120.00°
Fractional positions:
Re: 0.333 0.667 0.250
Re: 0.667 0.333 0.750
P: 0.000 0.000 0.000
P: 0.000 0.000 0.500
P: 0.333 0.667 0.750
P: 0.667 0.333 0.250

space-group type	P6_3/mmc, No. 194
total energy	-7.166	eV per atom

[5]
Re2P: optimized geometry, GGA-PBE.

Cell: 5.831 4.085 7.036 Å, 90.00 90.00 90.00°
Fractional positions:
Re: 0.003 0.250 0.170
Re: 0.138 0.250 0.579
Re: 0.362 0.750 0.079
Re: 0.497 0.750 0.670
Re: 0.503 0.250 0.330
Re: 0.638 0.250 0.921
Re: 0.862 0.750 0.421
Re: 0.997 0.750 0.830
P: 0.237 0.250 0.899
P: 0.263 0.750 0.399
P: 0.737 0.250 0.601
P: 0.763 0.750 0.101

space-group type	Pnma, No. 62
energy above the most stable polymorph in this dataset	192	meV per atom
total energy	-10.201	eV per atom

[6]
Re2P: optimized geometry, GGA-PBE.

Cell: 5.350 5.350 5.658 Å, 97.19 97.19 31.99°
Fractional positions:
Re: 0.000 0.000 0.000
Re: 0.083 0.083 0.527
Re: 0.365 0.365 0.299
Re: 0.729 0.729 0.899
P: 0.379 0.379 0.717
P: 0.665 0.665 0.270

space-group type	Cm, No. 8
energy above the most stable polymorph in this dataset	119	meV per atom
total energy	-10.273	eV per atom

[7]
Re2P: optimized geometry, GGA-PBE.

Cell: 5.704 5.704 5.704 Å, 90.00 90.00 90.00°
Fractional positions:
Re: 0.125 0.125 0.125
Re: 0.125 0.375 0.625
Re: 0.375 0.625 0.125
Re: 0.375 0.875 0.625
Re: 0.625 0.125 0.375
Re: 0.625 0.375 0.875
Re: 0.875 0.625 0.375
Re: 0.875 0.875 0.875
P: 0.000 0.000 0.500
P: 0.000 0.500 0.000
P: 0.500 0.000 0.000
P: 0.500 0.500 0.500

space-group type	Pa-3, No. 205
energy above the most stable polymorph in this dataset	807	meV per atom
total energy	-9.585	eV per atom

[8]
ReP2: optimized geometry, GGA-PBE.

Cell: 6.103 6.103 6.103 Å, 152.10 152.10 39.87°
Fractional positions:
Re: 0.000 0.000 0.000
P: 0.375 0.375 0.000
P: 0.625 0.625 0.000

space-group type	I4/mmm, No. 139
total energy	-7.690	eV per atom

[9]
Re3P4: optimized geometry, GGA-PBE.

Cell: 5.467 5.467 4.069 Å, 90.00 90.00 120.00°
Fractional positions:
Re: 0.000 0.500 0.000
Re: 0.500 0.000 0.000
Re: 0.500 0.500 0.000
P: 0.000 0.000 0.246
P: 0.000 0.000 0.754
P: 0.333 0.667 0.500
P: 0.667 0.333 0.500

space-group type	P6/mmm, No. 191
energy above the most stable polymorph in this dataset	1119	meV per atom
total energy	-7.690	eV per atom

[10]
Re6P13: optimized geometry, GGA-PBE.

Cell: 9.519 9.519 9.519 Å, 111.75 111.75 111.75°
Fractional positions:
Re: 0.003 0.334 0.230
Re: 0.170 0.679 0.590
Re: 0.230 0.003 0.334
Re: 0.321 0.410 0.830
Re: 0.334 0.230 0.003
Re: 0.410 0.830 0.321
Re: 0.590 0.170 0.679
Re: 0.666 0.770 0.997
Re: 0.679 0.590 0.170
Re: 0.770 0.997 0.666
Re: 0.830 0.321 0.410
Re: 0.997 0.666 0.770
P: 0.097 0.274 0.888
P: 0.104 0.111 0.500
P: 0.111 0.500 0.104
P: 0.112 0.903 0.726
P: 0.120 0.491 0.705
P: 0.131 0.131 0.131
P: 0.274 0.888 0.097
P: 0.295 0.880 0.509
P: 0.304 0.536 0.497
P: 0.464 0.503 0.696
P: 0.491 0.705 0.120
P: 0.497 0.304 0.536
P: 0.500 0.104 0.111
P: 0.500 0.896 0.889
P: 0.503 0.696 0.464
P: 0.509 0.295 0.880
P: 0.536 0.497 0.304
P: 0.696 0.464 0.503
P: 0.705 0.120 0.491
P: 0.726 0.112 0.903
P: 0.869 0.869 0.869
P: 0.880 0.509 0.295
P: 0.888 0.097 0.274
P: 0.889 0.500 0.896
P: 0.896 0.889 0.500
P: 0.903 0.726 0.112

space-group type	R-3, No. 148
total energy	-7.998	eV per atom

[11]
ReP2: optimized geometry, GGA-PBE.

Cell: 4.210 4.210 4.210 Å, 136.40 119.30 77.67°
Fractional positions:
Re: 0.000 0.000 0.000
P: 0.294 0.794 0.500
P: 0.706 0.206 0.500

space-group type	Immm, No. 71
total energy	-7.860	eV per atom

[12]
Re3P4: optimized geometry, GGA-PBE.

Cell: 6.330 6.330 6.061 Å, 113.10 113.10 27.70°
Fractional positions:
Re: 0.000 0.000 0.000
Re: 0.264 0.264 0.319
Re: 0.736 0.736 0.681
P: 0.085 0.085 0.437
P: 0.351 0.351 0.024
P: 0.649 0.649 0.976
P: 0.915 0.915 0.563

space-group type	C2/m, No. 12
energy above the most stable polymorph in this dataset	0	meV per atom
total energy	-8.809	eV per atom

[13]
Re2P: optimized geometry, GGA-PBE.

Cell: 3.981 3.981 2.897 Å, 90.00 90.00 90.00°
Fractional positions:
Re: 0.000 0.500 0.000
Re: 0.500 0.000 0.000
P: 0.000 0.000 0.500

space-group type	P4/mmm, No. 123
energy above the most stable polymorph in this dataset	871	meV per atom
total energy	-9.521	eV per atom